Computed, not measured: crystalline Ac6Mg5Cd at its relaxed geometry at the PBE-GGA level of DFT.

```
12
Lattice="5.5014 -0.0327 1.8437 0.0438 8.2245 0.0146 0.0097 -0.0164 9.1934" Properties=species:S:1:pos:R:3 pbc="T T T"
Ac 4.6250 6.1319 4.5985
Ac 4.6031 2.0272 4.5912
Ac 2.7616 2.0233 0.9255
Ac 2.7837 6.1686 0.9328
Ac 0.9518 6.1482 6.4605
Ac 0.9299 2.0435 6.4532
Mg 3.6978 4.0795 7.3599
Mg 1.8185 -0.0164 3.7422
Mg 0.0219 4.1123 0.0073
Mg 3.6926 -0.0327 7.2949
Mg 1.8571 4.0959 3.6918
Cd 0.0000 0.0000 0.0000
```

Results
E   -2.91 eV per atom
DOS(E_F)   13.29 states/eV/f.u.
ΔE_f   -0.12 eV/atom
Space-group type   P2/m, No. 10

---

Computed, not measured: crystalline SiNiPb2 at its relaxed geometry at the PBE-GGA level of DFT.

```
8
Lattice="6.1927 0.0000 0.0000 0.0000 6.1927 0.0000 3.0963 3.0963 6.0015" Properties=species:S:1:pos:R:3 pbc="T T T"
Pb 4.7928 1.5482 1.5004
Pb 1.3999 4.6445 1.5004
Pb 4.6445 4.4962 4.5011
Pb 7.7408 7.8891 4.5011
Ni 0.0000 0.0000 0.0000
Ni 6.1927 3.0963 3.0008
Si 3.0963 3.0963 0.0000
Si 3.0963 6.1927 3.0008
```

Results
E   -4.07 eV per atom
DOS(E_F)   3.23 states/eV/f.u.
Energy relative to the lowest polymorph listed for this composition   0.655 eV per atom
Energy relative to the elements, uncorrected   0.5878 eV per atom
Space-group type   I-42d, No. 122

---

Computed, not measured: crystalline KLa2Zn at its relaxed geometry at the PBE-GGA level of DFT.

```
4
Lattice="-0.2089 3.5606 -1.5807 -5.7420 0.1652 1.1309 1.1200 2.4326 5.3314" Properties=species:S:1:pos:R:3 pbc="T T T"
K -2.3110 1.2989 3.2311
La 0.0000 0.0000 0.0000
La -2.9754 1.8629 -0.2249
Zn 0.4556 2.9966 1.8753
```

Results
E   -2.76 eV per atom
DOS(E_F)   3.91 states/eV/f.u.
Energy relative to the lowest polymorph listed for this composition   0.285 eV per atom
ΔE_f   0.30 eV/atom
Space-group type   Pmmm, No. 47

---

Computed, not measured: crystalline RbTlCl2 at its relaxed geometry at the PBE-GGA level of DFT.

```
4
Lattice="-2.1452 -3.1031 -1.1400 1.6512 0.1715 -3.5742 5.7326 -4.8504 2.4156" Properties=species:S:1:pos:R:3 pbc="T T T"
Tl -0.2470 -1.4658 -2.3571
Rb 2.6193 -3.8910 -1.1493
Cl 4.3120 -3.6484 1.8170
Cl 1.4206 -1.2020 0.5986
```

Results
E   -3.18 eV per atom
DOS(E_F)   0.00 states/eV/f.u.
Energy relative to the lowest polymorph listed for this composition   0.056 eV per atom
Energy relative to the elements, uncorrected   -1.4235 eV per atom
Space-group type   P4/mmm, No. 123

---

Computed, not measured: crystalline V2SeN2 at its relaxed geometry at the PBE-GGA level of DFT.

```
5
Lattice="3.7736 0.0000 0.0000 0.0000 3.7736 0.0000 1.8868 1.8868 4.6428" Properties=species:S:1:pos:R:3 pbc="T T T"
V 3.7736 1.8868 2.3214
V 1.8868 3.7736 2.3214
Se 0.0000 0.0000 0.0000
N 1.8868 1.8868 1.8218
N 3.7736 3.7736 2.8210
```

Results
E   -8.18 eV per atom
DOS(E_F)   2.89 states/eV/f.u.
Energy relative to the elements, uncorrected   -0.5055 eV per atom
Space-group type   I4/mmm, No. 139

---

Computed, not measured: crystalline Mn2RuRh9 at its relaxed geometry at the PBE-GGA level of DFT.

```
12
Lattice="-0.4561 -0.9706 3.6643 3.7332 0.5253 0.6038 -1.9805 11.0066 2.6690" Properties=species:S:1:pos:R:3 pbc="T T T"
Mn -0.6689 3.7172 0.9014
Mn -1.3116 7.2894 1.7676
Ru 0.0000 0.0000 0.0000
Rh 1.6385 -0.2227 2.1340
Rh 0.9802 3.4359 3.0212
Rh 0.3163 7.1254 3.9159
Rh -0.5560 1.3373 2.2741
Rh -1.2183 5.0180 3.1666
Rh -1.8806 8.6987 4.0592
Rh 1.5386 2.0853 0.7439
Rh 0.8763 5.7660 1.6364
Rh 0.2140 9.4466 2.5290
```

Results
E   -7.89 eV per atom
DOS(E_F)   13.71 states/eV/f.u.
ΔE_f   -0.08 eV/atom
Space-group type   P4/mmm, No. 123

---

Computed, not measured: crystalline InS8 at its relaxed geometry at the PBE-GGA level of DFT.

```
9
Lattice="-4.9701 -0.2554 -8.4989 6.7011 -4.0746 -3.2978 -7.1182 0.2101 4.6552" Properties=species:S:1:pos:R:3 pbc="T T T"
In 0.0000 0.0000 0.0000
S -1.9347 -3.1935 -9.6871
S -3.4525 -0.9265 2.5456
S -2.9734 -4.0883 -6.3097
S -1.7300 -0.7308 -2.6125
S -5.6713 -3.2518 -4.7570
S -3.6572 -3.3891 -4.5290
S -2.4138 -0.0316 -0.8317
S 0.2841 -0.8681 -2.3845
```

Results
E   -3.76 eV per atom
DOS(E_F)   6.12 states/eV/f.u.
Energy relative to the elements, uncorrected   0.2151 eV per atom
Space-group type   Fmmm, No. 69

---

Computed, not measured: crystalline LiCaAu at its relaxed geometry at the PBE-GGA level of DFT.

```
3
Lattice="-3.4144 -3.0441 -1.5238 -2.2331 -2.8895 3.1481 -4.6174 0.7894 1.1414" Properties=species:S:1:pos:R:3 pbc="T T T"
Au -7.6987 -3.8582 2.0743
Ca 0.0000 0.0000 0.0000
Li -5.1325 -2.5721 1.3829
```

Results
E   -2.87 eV per atom
DOS(E_F)   1.18 states/eV/f.u.
ΔE_f   -0.47 eV/atom
Space-group type   F-43m, No. 216

---

Computed, not measured: crystalline Pr6SiAs2Br3 at its relaxed geometry at the PBE-GGA level of DFT.

```
12
Lattice="-0.5455 1.1408 -4.1033 7.2152 -4.6913 -2.2635 -7.1496 -6.6766 1.3407" Properties=species:S:1:pos:R:3 pbc="T T T"
Pr 1.3723 -8.4266 -2.5252
Pr 1.1571 -4.1891 -3.5650
Pr -1.8523 -1.8005 -2.5008
Pr 1.5073 -1.1484 -0.5197
Pr -1.9872 -9.0787 -4.5064
Pr -1.6371 -6.0379 -1.4611
Si -0.2728 0.5704 -2.0517
As -0.3939 -6.6328 -4.0382
As -0.0861 -3.5943 -0.9879
Br 3.3348 -1.7753 -3.1834
Br -4.0109 -4.2957 -2.9076
Br 3.5310 -5.9314 -2.1185
```

Results
E   -5.36 eV per atom
DOS(E_F)   5.44 states/eV/f.u.
Energy relative to the elements, uncorrected   -1.3267 eV per atom
Space-group type   C2/m, No. 12

---

Computed, not measured: crystalline Ac5TmCd6 at its relaxed geometry at the PBE-GGA level of DFT.

```
12
Lattice="5.4408 -0.0054 -1.5256 -4.0772 7.9520 -4.0999 -0.1985 -1.1291 9.7649" Properties=species:S:1:pos:R:3 pbc="T T T"
Ac 1.8522 0.4362 6.6081
Ac -1.4999 1.9177 5.1130
Ac 0.5825 3.4088 2.0697
Ac -2.7759 4.9051 0.5519
Ac -0.6871 6.3813 -2.4687
Tm 0.0000 0.0000 0.0000
Cd 0.8802 0.1687 3.1427
Cd 1.5019 3.7995 5.3469
Cd 2.9789 1.4959 0.1464
Cd -1.8138 5.3216 3.9929
Cd -0.3368 3.0180 -1.2075
Cd 0.2849 6.6488 0.9966
```

Results
E   -2.82 eV per atom
DOS(E_F)   13.54 states/eV/f.u.
ΔE_f   -0.28 eV/atom
Space-group type   Immm, No. 71

---

Computed, not measured: crystalline Nb2Ga4Cl at its relaxed geometry at the PBE-GGA level of DFT.

```
7
Lattice="-0.1316 0.7819 -5.0183 -3.4180 -3.7267 -0.4910 -6.6157 2.8618 -1.9524" Properties=species:S:1:pos:R:3 pbc="T T T"
Nb -7.4883 0.5816 -4.8566
Nb -2.6770 -0.6647 -2.6051
Ga -5.4302 -1.2611 -5.1976
Ga -4.7351 1.1780 -2.2641
Ga -1.7090 -1.8633 -0.2455
Ga -0.0658 0.3909 -2.5091
Cl 0.0000 0.0000 0.0000
```

Results
E   -4.27 eV per atom
DOS(E_F)   7.67 states/eV/f.u.
Energy relative to the elements, uncorrected   0.6006 eV per atom
Space-group type   I4/mmm, No. 139

---

Computed, not measured: crystalline Na2Zn12Au7 at its relaxed geometry at the PBE-GGA level of DFT.

```
21
Lattice="-1.4771 -3.9157 -0.2593 7.3300 -3.2079 6.6862 -9.2442 3.2512 3.5636" Properties=species:S:1:pos:R:3 pbc="T T T"
Na -4.0889 0.1188 4.5396
Na 0.6976 -3.9912 5.4509
Zn 3.7151 -2.7981 4.1573
Zn -0.8130 -1.0938 4.2158
Zn 1.4071 -2.2063 8.3686
Zn -7.1065 -1.0743 5.8332
Zn -2.5783 -2.7786 5.7747
Zn -4.7984 -1.6661 1.6219
Zn -1.9491 -0.4517 1.6542
Zn -7.4392 1.4586 4.0817
Zn -2.8333 -0.5311 7.8908
Zn -1.4422 -3.4207 8.3363
Zn 4.0479 -5.3310 5.9088
Zn -0.5580 -3.3413 2.0997
Au -0.7386 -1.9579 -0.1297
Au 3.3846 -2.8506 6.7633
Au 1.4603 -1.8863 3.1638
Au -0.5403 -1.3733 6.8139
Au -6.7759 -1.0218 3.2272
Au -4.8516 -1.9861 6.8267
Au -2.8511 -2.4991 3.1766
```

Results
E   -2.13 eV per atom
DOS(E_F)   6.06 states/eV/f.u.
ΔE_f   -0.19 eV/atom
Space-group type   P-3, No. 147